Sm2MnCd | PBE | optimized geometry

a b c (Å): 5.270 5.270 5.270
angles (deg): 60.00 60.00 60.00
Fractional coordinates of all 4 atoms:
Cd: 0.500 0.500 0.500
Sm: 0.750 0.750 0.750
Sm: 0.250 0.250 0.250
Mn: 0.000 0.000 0.000

energy of formation	0.003	eV/atom
symmetry	Fm-3m
density of states at the Fermi level	4.89	states/eV/cell
total magnetization	3.31	μB per cell
energy	-4.8781	eV per atom

---

SmMnCd11 | PBE | optimized geometry

a b c (Å): 5.904 7.588 7.609
angles (deg): 81.36 67.17 67.22
Fractional coordinates of all 13 atoms:
Cd: 0.018 0.646 0.342
Cd: 0.640 0.354 0.342
Cd: 0.508 0.217 0.789
Cd: 0.500 0.000 0.500
Cd: 0.297 0.217 0.211
Cd: 0.360 0.646 0.658
Cd: 0.492 0.783 0.211
Cd: 0.000 0.500 0.000
Cd: 0.982 0.354 0.658
Cd: 0.000 0.000 0.500
Cd: 0.703 0.783 0.789
Sm: 0.000 0.000 0.000
Mn: 0.500 0.500 0.000

energy of formation	-0.056	eV/atom
symmetry	C2/m
density of states at the Fermi level	5.90	states/eV/cell
total magnetization	4.11	μB per cell
energy	-1.8987	eV per atom

---

SmThMnCd | PBE | optimized geometry

a b c (Å): 5.276 5.276 5.276
angles (deg): 60.00 60.00 60.00
Fractional coordinates of all 4 atoms:
Th: 0.500 0.500 0.500
Sm: 0.000 0.000 0.000
Cd: 0.750 0.750 0.750
Mn: 0.250 0.250 0.250

energy of formation	0.091	eV/atom
symmetry	F-43m
density of states at the Fermi level	4.13	states/eV/cell
total magnetization	2.65	μB per cell
energy	-5.4646	eV per atom

---

SmTmMnCd | PBE | optimized geometry

a b c (Å): 5.180 5.180 5.180
angles (deg): 60.00 60.00 60.00
Fractional coordinates of all 4 atoms:
Sm: 0.750 0.750 0.750
Cd: 0.500 0.500 0.500
Tm: 0.250 0.250 0.250
Mn: 0.000 0.000 0.000

energy of formation	-0.002	eV/atom
symmetry	F-43m
density of states at the Fermi level	5.50	states/eV/cell
total magnetization	3.12	μB per cell
energy	-4.8211	eV per atom

---

SmYMnCd | PBE | optimized geometry

a b c (Å): 5.225 5.225 5.225
angles (deg): 60.00 60.00 60.00
Fractional coordinates of all 4 atoms:
Y: 0.750 0.750 0.750
Mn: 0.500 0.500 0.500
Cd: 0.000 0.000 0.000
Sm: 0.250 0.250 0.250

energy of formation	-0.011	eV/atom
symmetry	F-43m
density of states at the Fermi level	5.35	states/eV/cell
total magnetization	3.19	μB per cell
energy	-5.3276	eV per atom

---

Mn4Cd2Sn | PBE | optimized geometry

a b c (Å): 4.931 4.931 7.745
angles (deg): 71.44 71.44 90.00
Fractional coordinates of all 7 atoms:
Mn: 0.194 0.194 0.612
Mn: 0.500 0.000 0.000
Mn: 0.806 0.806 0.388
Mn: 0.000 0.500 0.000
Cd: 0.388 0.388 0.224
Cd: 0.612 0.612 0.776
Sn: 0.000 0.000 0.000

energy of formation	0.893	eV/atom
symmetry	I4/mmm
density of states at the Fermi level	7.54	states/eV/cell
total magnetization	15.53	μB per cell
energy	-5.1796	eV per atom

---

MnCdSn2 | PBE | optimized geometry

a b c (Å): 3.305 3.305 9.633
angles (deg): 89.88 89.88 60.03
Fractional coordinates of all 4 atoms:
Cd: 0.374 0.374 0.511
Mn: 0.709 0.709 0.998
Sn: 0.043 0.043 0.779
Sn: 0.374 0.374 0.211

energy of formation	0.174	eV/atom
symmetry	Cm
density of states at the Fermi level	2.38	states/eV/cell
total magnetization	3.48	μB per cell
energy	-4.3489	eV per atom

---

MnCdSn2 | PBE | optimized geometry

a b c (Å): 4.580 4.580 9.972
angles (deg): 76.72 76.72 90.00
Fractional coordinates of all 8 atoms:
Cd: 0.750 0.250 0.500
Cd: 0.000 0.000 0.000
Sn: 0.875 0.848 0.750
Sn: 0.375 0.402 0.750
Sn: 0.152 0.625 0.250
Sn: 0.598 0.125 0.250
Mn: 0.250 0.750 0.500
Mn: 0.500 0.500 0.000

energy of formation	0.294	eV/atom
symmetry	I-42d
density of states at the Fermi level	5.68	states/eV/cell
total magnetization	8.04	μB per cell
energy	-4.2284	eV per atom